1.
{"formula": "RbTl2BiF6", "functional": "PBE", "state": "relaxed", "cell": [[-0.833, 3.179, 5.777], [-4.659, -4.857, 2.001], [7.084, -5.139, 4.021]], "species": ["F", "F", "F", "F", "F", "F", "F", "F", "F", "F", "F", "F", "Bi", "Bi", "Tl", "Tl", "Tl", "Tl", "Rb", "Rb"], "fractional_positions": [[0.151, 0.224, 0.073], [0.379, 0.939, 0.721], [0.849, 0.776, 0.927], [0.349, 0.724, 0.427], [0.292, 0.659, 0.048], [0.792, 0.841, 0.548], [0.621, 0.061, 0.279], [0.879, 0.561, 0.221], [0.121, 0.439, 0.779], [0.208, 0.159, 0.452], [0.708, 0.341, 0.952], [0.651, 0.276, 0.573], [0.000, 0.500, 0.000], [0.500, 0.000, 0.500], [0.010, 0.960, 0.255], [0.490, 0.460, 0.245], [0.510, 0.540, 0.755], [0.990, 0.040, 0.745], [0.500, 0.000, 0.000], [0.000, 0.500, 0.500]], "magnetic_moment_mub_per_atom": 0.000, "dos_ef_per_ev_fu": 0.00, "dft_energy_ev_per_atom": -4.350, "rho_g_cm3": 6.04}

=====

2.
{"formula": "GdDyRe4", "functional": "PBE", "state": "relaxed", "cell": [[-2.802, -1.334, 4.461], [2.359, -2.946, 3.910], [1.227, 2.300, 4.768]], "species": ["Re", "Re", "Re", "Re", "Gd", "Dy"], "fractional_positions": [[0.625, 0.125, 0.625], [0.625, 0.625, 0.625], [0.625, 0.625, 0.125], [0.125, 0.625, 0.625], [0.250, 0.250, 0.250], [0.000, 0.000, 0.000]], "magnetic_moment_mub_per_atom": 1.068, "dos_ef_per_ev_fu": 7.35, "dft_energy_ev_per_atom": -11.551, "rho_g_cm3": 15.58}

=====

3.
{"formula": "Li3LaPb2", "functional": "PBE", "state": "relaxed", "cell": [[4.914, 0.000, 0.000], [-2.457, 4.255, 0.000], [0.000, 0.000, 14.199]], "species": ["Li", "Li", "Li", "Li", "Li", "Li", "Pb", "Pb", "Pb", "Pb", "La", "La"], "fractional_positions": [[0.000, 0.000, 0.500], [0.333, 0.667, 0.413], [0.667, 0.333, 0.587], [0.000, 0.000, 0.000], [0.333, 0.667, 0.087], [0.667, 0.333, 0.913], [0.667, 0.333, 0.374], [0.333, 0.667, 0.626], [0.333, 0.667, 0.874], [0.667, 0.333, 0.126], [0.000, 0.000, 0.250], [0.000, 0.000, 0.750]], "magnetic_moment_mub_per_atom": 0.000, "polymorph_energy_ev_per_atom": 0.000, "dos_ef_per_ev_fu": 2.19, "dft_energy_ev_per_atom": -3.422, "rho_g_cm3": 6.42}

=====

4.
{"formula": "Cs2HF", "functional": "PBE", "state": "relaxed", "cell": [[-5.007, -1.469, -1.012], [-1.194, -2.374, -4.603], [-1.294, -5.155, -0.075]], "species": ["H", "Cs", "Cs", "F"], "fractional_positions": [[0.000, 0.000, 0.000], [0.750, 0.750, 0.750], [0.250, 0.250, 0.250], [0.500, 0.500, 0.500]], "magnetic_moment_mub_per_atom": 0.015, "polymorph_energy_ev_per_atom": 0.088, "dos_ef_per_ev_fu": 0.00, "dft_energy_ev_per_atom": -3.054, "rho_g_cm3": 4.47}

=====

5.
{"formula": "NaBe2Re2", "functional": "PBE", "state": "relaxed", "cell": [[-0.606, -4.117, 6.196], [6.229, -3.680, -1.835], [1.388, 1.713, 1.274]], "species": ["Re", "Re", "Re", "Re", "Be", "Be", "Be", "Be", "Na", "Na"], "fractional_positions": [[0.118, 0.618, 0.500], [0.882, 0.382, 0.500], [0.618, 0.882, 0.500], [0.382, 0.118, 0.500], [0.327, 0.827, 0.000], [0.827, 0.673, 0.000], [0.173, 0.327, 0.000], [0.673, 0.173, 0.000], [0.000, 0.000, 0.000], [0.500, 0.500, 0.000]], "magnetic_moment_mub_per_atom": 0.000, "polymorph_energy_ev_per_atom": 0.000, "dos_ef_per_ev_fu": 2.44, "dft_energy_ev_per_atom": -6.342, "rho_g_cm3": 9.68}

=====

6.
{"formula": "ScTa2Mo", "functional": "PBE", "state": "relaxed", "cell": [[3.268, 0.000, 0.000], [0.000, 3.268, 0.000], [0.000, 0.000, 7.002]], "species": ["Ta", "Ta", "Mo", "Sc"], "fractional_positions": [[0.500, 0.500, 0.265], [0.000, 0.000, 0.027], [0.000, 0.000, 0.474], [0.500, 0.500, 0.734]], "magnetic_moment_mub_per_atom": 0.000, "polymorph_energy_ev_per_atom": 0.054, "dos_ef_per_ev_fu": 6.50, "dft_energy_ev_per_atom": -10.107, "rho_g_cm3": 11.17}

=====

7.
{"formula": "LaNdTlCu", "functional": "PBE", "state": "relaxed", "cell": [[5.405, 0.000, 0.000], [2.702, 4.681, 0.000], [2.702, 1.560, 4.413]], "species": ["Nd", "La", "Cu", "Tl"], "fractional_positions": [[0.000, 0.000, 0.000], [0.500, 0.500, 0.500], [0.250, 0.250, 0.250], [0.750, 0.750, 0.750]], "magnetic_moment_mub_per_atom": 0.059, "dos_ef_per_ev_fu": 4.56, "dft_energy_ev_per_atom": -4.255, "rho_g_cm3": 8.20}

=====

8.
{"formula": "LiNiHgRh", "functional": "PBE", "state": "relaxed", "cell": [[-1.543, 1.900, 3.564], [-4.001, -0.898, 1.369], [-0.582, -2.315, 3.604]], "species": ["Ni", "Li", "Hg", "Rh"], "fractional_positions": [[0.250, 0.250, 0.250], [0.750, 0.750, 0.750], [0.500, 0.500, 0.500], [0.000, 0.000, 0.000]], "magnetic_moment_mub_per_atom": 0.180, "dos_ef_per_ev_fu": 6.19, "dft_energy_ev_per_atom": -3.843, "rho_g_cm3": 10.73}

=====

9.
{"formula": "CaLa2N", "functional": "PBE", "state": "relaxed", "cell": [[-6.674, -3.012, -1.921], [3.409, -6.586, -1.518], [-2.336, -6.250, 3.000]], "species": ["Ca", "Ca", "La", "La", "La", "La", "N", "N"], "fractional_positions": [[0.750, 0.250, 0.500], [0.000, 0.000, 0.000], [0.462, 0.125, 0.250], [0.375, 0.538, 0.750], [0.875, 0.712, 0.750], [0.288, 0.625, 0.250], [0.500, 0.500, 0.000], [0.250, 0.750, 0.500]], "magnetic_moment_mub_per_atom": 0.000, "dos_ef_per_ev_fu": 4.40, "dft_energy_ev_per_atom": -5.542, "rho_g_cm3": 3.86}

=====

10.
{"formula": "LiPmZn2", "functional": "PBE", "state": "relaxed", "cell": [[-2.766, -1.958, 0.430], [0.870, -2.205, -4.446], [2.826, -3.490, 2.284]], "species": ["Zn", "Zn", "Pm", "Li"], "fractional_positions": [[0.000, 0.000, 0.500], [0.000, 0.500, 0.000], [0.500, 0.500, 0.500], [0.500, 0.000, 0.000]], "magnetic_moment_mub_per_atom": 0.000, "polymorph_energy_ev_per_atom": 0.108, "dos_ef_per_ev_fu": 2.46, "dft_energy_ev_per_atom": -2.449, "rho_g_cm3": 5.41}

=====

11.
{"formula": "Tm3Zn2Si3", "functional": "PBE", "state": "relaxed", "cell": [[-0.406, -1.240, 3.926], [5.458, 0.299, -1.521], [0.455, 13.275, 4.239]], "species": ["Si", "Si", "Si", "Si", "Si", "Si", "Zn", "Zn", "Zn", "Zn", "Tm", "Tm", "Tm", "Tm", "Tm", "Tm"], "fractional_positions": [[0.648, 0.297, 0.750], [0.607, 0.213, 0.459], [0.393, 0.787, 0.541], [0.352, 0.703, 0.250], [0.607, 0.213, 0.041], [0.393, 0.787, 0.959], [0.781, 0.561, 0.595], [0.219, 0.439, 0.095], [0.781, 0.561, 0.905], [0.219, 0.439, 0.405], [0.073, 0.147, 0.884], [0.361, 0.722, 0.750], [0.639, 0.278, 0.250], [0.927, 0.853, 0.384], [0.073, 0.147, 0.616], [0.927, 0.853, 0.116]], "magnetic_moment_mub_per_atom": 0.000, "dos_ef_per_ev_fu": 4.96, "dft_energy_ev_per_atom": -4.618, "rho_g_cm3": 7.87}

=====

12.
{"formula": "Sr2NiH", "functional": "PBE", "state": "relaxed", "cell": [[-3.241, 1.136, 2.234], [-3.253, -2.473, 0.295], [0.570, -3.392, 6.308]], "species": ["Sr", "Sr", "Ni", "H"], "fractional_positions": [[0.248, 0.248, 0.256], [0.752, 0.752, 0.744], [0.000, 0.000, 0.000], [0.500, 0.500, 0.500]], "magnetic_moment_mub_per_atom": 0.000, "polymorph_energy_ev_per_atom": 0.000, "dos_ef_per_ev_fu": 2.01, "dft_energy_ev_per_atom": -3.156, "rho_g_cm3": 3.96}

=====

13.
{"formula": "RbMgPb2", "functional": "PBE", "state": "relaxed", "cell": [[5.016, 0.000, 0.000], [2.508, 4.344, 0.000], [2.508, 1.448, 7.277]], "species": ["Rb", "Mg", "Pb", "Pb"], "fractional_positions": [[0.494, 0.494, 0.519], [0.676, 0.676, 0.973], [0.288, 0.288, 0.135], [0.042, 0.042, 0.873]], "magnetic_moment_mub_per_atom": 0.000, "dos_ef_per_ev_fu": 2.82, "dft_energy_ev_per_atom": -2.539, "rho_g_cm3": 5.49}

=====

14.
{"formula": "TaRe2HgAs", "functional": "PBE", "state": "relaxed", "cell": [[-0.760, -3.599, 3.290], [4.919, -0.718, 0.351], [0.221, 3.301, 3.662]], "species": ["Hg", "As", "Ta", "Re", "Re"], "fractional_positions": [[0.000, 0.000, 0.000], [0.500, 0.500, 0.500], [0.000, 0.500, 0.000], [0.500, 0.000, 0.000], [0.000, 0.000, 0.500]], "magnetic_moment_mub_per_atom": 0.345, "dos_ef_per_ev_fu": 7.64, "dft_energy_ev_per_atom": -5.443, "rho_g_cm3": 11.34}

=====

15.
{"formula": "LaCd2Se", "functional": "PBE", "state": "relaxed", "cell": [[4.279, 0.000, 0.000], [0.000, 4.279, 0.000], [0.000, 0.000, 5.802]], "species": ["Cd", "Cd", "Se", "La"], "fractional_positions": [[0.500, 0.500, 0.000], [0.000, 0.000, 0.000], [0.000, 0.500, 0.500], [0.500, 0.000, 0.500]], "magnetic_moment_mub_per_atom": 0.000, "dos_ef_per_ev_fu": 1.66, "dft_energy_ev_per_atom": -3.357, "rho_g_cm3": 6.92}

=====

16.
{"formula": "MgAg2Os", "functional": "PBE", "state": "relaxed", "cell": [[-2.693, -3.279, -2.552], [0.216, -4.368, 2.321], [-1.095, 4.532, 1.666]], "species": ["Os", "Mg", "Ag", "Ag"], "fractional_positions": [[0.750, 0.250, 0.500], [0.250, 0.750, 0.500], [0.500, 0.500, 0.000], [0.000, 0.000, 0.000]], "magnetic_moment_mub_per_atom": 0.208, "dos_ef_per_ev_fu": 3.78, "dft_energy_ev_per_atom": -4.129, "rho_g_cm3": 10.64}

=====

17.
{"formula": "CaSb3Rh", "functional": "PBE", "state": "relaxed", "cell": [[5.573, 0.000, 0.000], [0.000, 5.573, 0.000], [0.000, 0.000, 5.573]], "species": ["Ca", "Sb", "Sb", "Sb", "Rh"], "fractional_positions": [[0.000, 0.000, 0.000], [0.000, 0.500, 0.000], [0.500, 0.000, 0.000], [0.000, 0.000, 0.500], [0.500, 0.500, 0.500]], "magnetic_moment_mub_per_atom": 0.284, "polymorph_energy_ev_per_atom": 1.287, "dos_ef_per_ev_fu": 7.94, "dft_energy_ev_per_atom": -3.152, "rho_g_cm3": 4.87}

=====

18.
{"formula": "Nb3Au3N", "functional": "PBE", "state": "relaxed", "cell": [[7.507, 0.000, 4.334], [2.502, 7.077, 4.334], [0.000, 0.000, 8.668]], "species": ["Nb", "Nb", "Nb", "Nb", "Nb", "Nb", "Nb", "Nb", "Nb", "Nb", "Nb", "Nb", "Au", "Au", "Au", "Au", "Au", "Au", "Au", "Au", "Au", "Au", "Au", "Au", "N", "N", "N", "N"], "fractional_positions": [[0.172, 0.828, 0.172], [0.828, 0.172, 0.828], [0.172, 0.172, 0.828], [0.078, 0.422, 0.078], [0.422, 0.078, 0.422], [0.828, 0.172, 0.172], [0.422, 0.078, 0.078], [0.078, 0.078, 0.422], [0.422, 0.422, 0.078], [0.172, 0.828, 0.828], [0.078, 0.422, 0.422], [0.828, 0.828, 0.172], [0.839, 0.482, 0.839], [0.125, 0.625, 0.625], [0.411, 0.411, 0.411], [0.411, 0.768, 0.411], [0.839, 0.839, 0.482], [0.411, 0.411, 0.768], [0.768, 0.411, 0.411], [0.839, 0.839, 0.839], [0.625, 0.625, 0.625], [0.625, 0.125, 0.625], [0.482, 0.839, 0.839], [0.625, 0.625, 0.125], [0.625, 0.125, 0.125], [0.125, 0.125, 0.125], [0.125, 0.125, 0.625], [0.125, 0.625, 0.125]], "magnetic_moment_mub_per_atom": 0.000, "dos_ef_per_ev_fu": 5.22, "dft_energy_ev_per_atom": -7.221, "rho_g_cm3": 12.75}

=====

19.
{"formula": "Tb3Ho2Tl4", "functional": "PBE", "state": "relaxed", "cell": [[7.192, 0.000, 0.000], [0.000, 9.583, 0.000], [-3.596, 0.000, 7.819]], "species": ["Tb", "Tb", "Tb", "Tb", "Tb", "Tb", "Tl", "Tl", "Tl", "Tl", "Tl", "Tl", "Tl", "Tl", "Ho", "Ho", "Ho", "Ho"], "fractional_positions": [[0.963, 0.250, 0.425], [0.000, 0.000, 0.000], [0.537, 0.750, 0.575], [0.037, 0.750, 0.575], [0.500, 0.500, 0.000], [0.463, 0.250, 0.425], [0.695, 0.530, 0.390], [0.739, 0.750, 0.977], [0.761, 0.250, 0.023], [0.261, 0.250, 0.023], [0.305, 0.470, 0.610], [0.239, 0.750, 0.977], [0.805, 0.030, 0.610], [0.195, 0.970, 0.390], [0.608, 0.943, 0.216], [0.892, 0.443, 0.784], [0.392, 0.057, 0.784], [0.108, 0.557, 0.216]], "magnetic_moment_mub_per_atom": 0.000, "polymorph_energy_ev_per_atom": 0.093, "dos_ef_per_ev_fu": 6.33, "dft_energy_ev_per_atom": -3.795, "rho_g_cm3": 10.01}

=====

20.
{"formula": "NaIn2Pb8", "functional": "PBE", "state": "relaxed", "cell": [[6.031, -0.235, -0.353], [-1.376, 8.247, -0.479], [-1.376, -3.618, 7.426]], "species": ["Na", "Pb", "Pb", "Pb", "Pb", "Pb", "Pb", "Pb", "Pb", "In", "In"], "fractional_positions": [[0.500, 0.000, 0.000], [0.846, 0.914, 0.676], [0.500, 0.767, 0.233], [0.846, 0.676, 0.914], [0.154, 0.324, 0.086], [0.500, 0.233, 0.767], [0.154, 0.086, 0.324], [0.322, 0.598, 0.598], [0.678, 0.402, 0.402], [0.000, 0.686, 0.314], [0.000, 0.314, 0.686]], "magnetic_moment_mub_per_atom": 0.000, "polymorph_energy_ev_per_atom": 0.081, "dos_ef_per_ev_fu": 5.11, "dft_energy_ev_per_atom": -3.260, "rho_g_cm3": 9.05}

=====

21.
{"formula": "GaGeBi", "functional": "PBE", "state": "relaxed", "cell": [[3.192, 0.000, 0.000], [0.000, 5.173, 0.000], [0.000, -2.586, 4.480]], "species": ["Ga", "Ge", "Bi"], "fractional_positions": [[0.233, 0.667, 0.333], [0.982, 0.000, 0.000], [0.785, 0.333, 0.667]], "magnetic_moment_mub_per_atom": 0.000, "dos_ef_per_ev_fu": 1.26, "dft_energy_ev_per_atom": -3.633, "rho_g_cm3": 7.89}

=====

22.
{"formula": "CaTi3S", "functional": "PBE", "state": "relaxed", "cell": [[4.663, 0.000, 0.000], [0.000, 4.663, 0.000], [0.000, 0.000, 4.663]], "species": ["Ti", "Ti", "Ti", "Ca", "S"], "fractional_positions": [[0.500, 0.000, 0.000], [0.000, 0.000, 0.500], [0.000, 0.500, 0.000], [0.500, 0.500, 0.500], [0.000, 0.000, 0.000]], "magnetic_moment_mub_per_atom": 0.000, "polymorph_energy_ev_per_atom": 0.000, "dos_ef_per_ev_fu": 4.26, "dft_energy_ev_per_atom": -6.237, "rho_g_cm3": 3.53}

=====

23.
{"formula": "AlSbSe3", "functional": "PBE", "state": "relaxed", "cell": [[-2.783, -2.158, -3.398], [3.749, -2.894, -1.233], [-1.466, -3.304, 3.299]], "species": ["Se", "Se", "Se", "Al", "Sb"], "fractional_positions": [[0.500, 0.000, 0.000], [0.000, 0.000, 0.500], [0.000, 0.500, 0.000], [0.000, 0.000, 0.000], [0.500, 0.500, 0.500]], "magnetic_moment_mub_per_atom": 0.000, "polymorph_energy_ev_per_atom": 0.555, "dos_ef_per_ev_fu": 4.16, "dft_energy_ev_per_atom": -3.663, "rho_g_cm3": 5.46}

=====

24.
{"formula": "Ba2LiTl3Ag4", "functional": "PBE", "state": "relaxed", "cell": [[-2.277, -4.109, 0.338], [1.231, -1.046, -4.424], [10.587, -5.516, 4.251]], "species": ["Ag", "Ag", "Ag", "Ag", "Ba", "Ba", "Tl", "Tl", "Tl", "Li"], "fractional_positions": [[0.500, 0.500, 0.000], [0.500, 0.000, 0.634], [0.000, 0.500, 0.366], [0.000, 0.000, 0.000], [0.500, 0.000, 0.247], [0.000, 0.500, 0.753], [0.000, 0.000, 0.500], [0.000, 0.500, 0.134], [0.500, 0.000, 0.866], [0.500, 0.500, 0.500]], "magnetic_moment_mub_per_atom": 0.000, "dos_ef_per_ev_fu": 5.09, "dft_energy_ev_per_atom": -2.625, "rho_g_cm3": 7.83}